DFT (PBE) results for an optimized crystal structure of SnAuI2N.

As for the energy above the most stable polymorph in this dataset: 0 meV per atom. The crystal system is tetragonal. The calculated volume comes out at 146.5 Å³/cell. The formation energy without anion corrections comes out at 0.7084 eV per atom.

Cell and atoms, written as CIF:
```
data_SnAuI2N
_chemical_formula_sum 'Sn1 Au1 I2 N1'
_cell_length_a 6.207
_cell_length_b 6.207
_cell_length_c 3.802
_cell_angle_alpha 90.00
_cell_angle_beta 90.00
_cell_angle_gamma 90.00
_space_group_name_H-M_alt 'P 4/m m m'
_space_group_IT_number 123
_space_group_name_Hall '-P 4 2'
loop_
_atom_site_label
_atom_site_fract_x
_atom_site_fract_y
_atom_site_fract_z
_atom_site_occupancy
Sn1 0.000 0.000 0.000 1
Au1 0.500 0.500 0.500 1
I1 0.000 0.500 0.500 1
N1 0.500 0.500 0.000 1
```